## CsPmSe4 (PBE)

Data for a geometry-optimized CsPmSe4 structure.

Computed properties:
final energy	-26.6	eV per formula unit
total magnetic moment	0.00	μB per formula unit
SG	P4/nbm, No. 125
ρ	5.25	g/cm³

Cell lengths 6.411, 6.411, 9.137 Å; angles 90.00, 90.00, 90.00 degrees
Sites, in units of the cell vectors:
Cs1 0.250 0.250 0.000
Cs2 0.750 0.750 0.000
Pm1 0.250 0.250 0.500
Pm2 0.750 0.750 0.500
Se1 0.116 0.616 0.306
Se2 0.116 0.884 0.694
Se3 0.384 0.616 0.694
Se4 0.384 0.884 0.306
Se5 0.616 0.116 0.694
Se6 0.616 0.384 0.306
Se7 0.884 0.116 0.306
Se8 0.884 0.384 0.694